#A
A relaxed IrIN2 crystal, computed with PBE.

Cell and atoms, written as POSCAR:
```
IrIN2
1.0
-2.4652 -3.2659 0.5558
-0.6149 -1.5003 3.7978
-3.6682 0.4708 1.8371
I Ir N
1 1 2
Direct
0.0000 0.0000 0.0000
0.5000 0.5000 0.5000
0.2500 0.2500 0.2500
0.7500 0.7500 0.7500
```

Values from the calculation:
magnetic moment	0.00	μB per atom
V	12.45	A^3/atom
crystal system	cubic

***

#B
A relaxed IrIN2 crystal, computed with PBE.

Cell and atoms, written as POSCAR:
```
IrIN2
1.0
1.8436 0.0000 7.0604
-0.9218 1.5966 7.0604
-0.9218 -1.5966 7.0604
I Ir N
1 1 2
Direct
0.5000 0.5000 0.5000
0.0000 0.0000 0.0000
0.9131 0.9131 0.9131
0.0869 0.0869 0.0869
```

Values from the calculation:
magnetic moment	0.00	μB per atom
V	15.59	A^3/atom
crystal system	trigonal

***

Most stable = #B

***

#A
A relaxed HfScAg crystal, computed with PBE.

Cell and atoms, written as POSCAR:
```
HfScAg
1.0
-1.4246 0.0344 5.1579
1.9350 -2.0275 1.5384
4.7748 6.4515 -0.8235
Sc Hf Ag
2 2 2
Direct
0.3535 0.5477 0.4966
0.9202 0.5455 0.0592
0.8849 0.8915 0.7156
0.3890 0.2014 0.8402
0.4057 0.8630 0.1796
0.8680 0.2301 0.3762
```

Values from the calculation:
magnetic moment	0.00	μB per atom
V	21.06	A^3/atom
crystal system	monoclinic

***

#B
A relaxed HfScAg crystal, computed with PBE.

Cell and atoms, written as POSCAR:
```
HfScAg
1.0
4.9772 0.0000 0.0058
0.0000 3.2120 -0.0002
-2.5111 0.0008 7.8575
Sc Hf Ag
2 2 2
Direct
0.2130 0.1299 0.4289
0.5607 0.1299 0.1269
0.3869 0.6298 0.7779
0.8869 0.1298 0.7779
0.0438 0.6299 0.0938
0.7298 0.6299 0.4620
```

Values from the calculation:
magnetic moment	0.00	μB per atom
V	20.94	A^3/atom
crystal system	monoclinic

***

Most stable = #A

***

#A
A relaxed BC3 crystal, computed with PBE.

Cell and atoms, written as POSCAR:
```
BC3
1.0
0.0229 -4.5376 -0.2636
0.5181 -3.3291 3.1278
-4.9101 1.7829 0.2766
B C
3 9
Direct
0.0139 0.0077 0.9904
0.2314 0.7366 0.2703
0.6759 0.6729 0.3186
0.3406 0.3152 0.1624
0.5742 0.0981 0.4224
0.9081 0.4156 0.5866
0.9853 0.0116 0.5111
0.2630 0.7388 0.7472
0.3311 0.3376 0.6655
0.5853 0.0751 0.9221
0.6697 0.6648 0.8283
0.9214 0.4260 0.0751
```

Values from the calculation:
magnetic moment	0.00	μB per atom
V	6.19	A^3/atom
crystal system	triclinic

***

#B
A relaxed BC3 crystal, computed with PBE.

Cell and atoms, written as POSCAR:
```
BC3
1.0
5.8848 0.0956 -1.2891
5.3080 2.5426 -1.2891
-0.0042 -0.0010 5.1370
B C
3 9
Direct
0.9996 0.9996 0.9953
0.3269 0.3269 0.1645
0.9985 0.9985 0.5038
0.9182 0.9182 0.2073
0.2472 0.2472 0.3805
0.9059 0.9059 0.7036
0.6678 0.6678 0.3374
0.5928 0.5928 0.5485
0.3295 0.3295 0.6647
0.2481 0.2481 0.8670
0.6699 0.6699 0.8320
0.5956 0.5956 0.0455
```

Values from the calculation:
magnetic moment	0.00	μB per atom
V	6.19	A^3/atom
crystal system	monoclinic

***

Most stable = #B

***

#A
A relaxed Cd2HgBi2 crystal, computed with PBE.

Cell and atoms, written as POSCAR:
```
Cd2HgBi2
1.0
-3.8725 5.5559 6.2309
-7.7232 0.2233 -4.9990
-1.2017 -2.7805 1.7324
Cd Bi Hg
4 4 2
Direct
0.1498 0.6498 0.5000
0.6498 0.8502 0.5000
0.8502 0.3502 0.5000
0.3502 0.1498 0.5000
0.3543 0.8543 0.0000
0.8543 0.6457 0.0000
0.6457 0.1457 0.0000
0.1457 0.3543 0.0000
0.0000 0.0000 0.0000
0.5000 0.5000 0.0000
```

Values from the calculation:
magnetic moment	0.00	μB per atom
V	29.55	A^3/atom
crystal system	tetragonal

***

#B
A relaxed Cd2HgBi2 crystal, computed with PBE.

Cell and atoms, written as POSCAR:
```
Cd2HgBi2
1.0
4.7136 0.0000 0.0000
0.0000 4.7136 0.0000
2.3568 2.3568 7.1043
Cd Bi Hg
2 2 1
Direct
0.4031 0.4031 0.1938
0.5969 0.5969 0.8062
0.7500 0.2500 0.5000
0.2500 0.7500 0.5000
0.0000 0.0000 0.0000
```

Values from the calculation:
magnetic moment	0.00	μB per atom
V	31.57	A^3/atom
crystal system	tetragonal

***

Most stable = #B